# 1
VASP calculation (PBE-GGA) on a relaxed SrZn4Cu2Pd crystal.

The space group is R-3m (No. 166, hexagonal axes) and the conventional cell measures 4.2324, 4.2324 and 28.1667 Å, with angles of 90.00, 90.00 and 120.00 degrees. The distinct sites, in fractional coordinates, are Sr at (0.0000, 0.0000, 0.0000), Zn at (0.0000, 0.0000, 0.1315), Zn at (0.0000, 0.0000, 0.4093), Cu at (0.0000, 0.0000, 0.2301) and Pd at (0.0000, 0.0000, 0.5000).



# 2
VASP calculation (PBE-GGA) on a relaxed SrZn2CuPd crystal.

The excess energy over the best structure of this formula in the dataset is 0 meV per atom.

The space group is Imm2 (No. 44) and the conventional cell measures 4.147, 4.378 and 11.003 Å, with angles of 90.00, 90.00 and 90.00 degrees. The distinct sites, in fractional coordinates, are Sr at (0.000, 0.000, 0.000), Zn at (0.000, 0.000, 0.374), Zn at (0.000, 0.500, 0.245), Cu at (0.000, 0.500, 0.742) and Pd at (0.000, 0.000, 0.607).



# 3
VASP calculation (PBE-GGA) on a relaxed SrZn2CuPd crystal.

The excess energy over the best structure of this formula in the dataset is 175 meV per atom.

The space group is P4/mmm (No. 123) and the conventional cell measures 4.618, 4.618 and 5.047 Å, with angles of 90.00, 90.00 and 90.00 degrees. The distinct sites, in fractional coordinates, are Sr at (0.000, 0.000, 0.000), Zn at (0.000, 0.500, 0.500), Cu at (0.500, 0.500, 0.500) and Pd at (0.500, 0.500, 0.000).



# 4
VASP calculation (PBE-GGA) on a relaxed Sr2Zn3Cu12Pd crystal.

The space group is R-3m (No. 166, hexagonal axes) and the conventional cell measures 8.2205, 8.2205 and 18.9818 Å, with angles of 90.00, 90.00 and 120.00 degrees. The distinct sites, in fractional coordinates, are Sr at (0.0000, 0.0000, 0.1036), Zn at (0.0000, 0.5000, 0.0000), Cu at (0.0089, 0.5044, 0.1322), Cu at (0.1027, 0.2055, 0.7402) and Pd at (0.0000, 0.0000, 0.5000).



# 5
VASP calculation (PBE-GGA) on a relaxed Ta2CuPd8 crystal.

The space group is Immm (No. 71) and the conventional cell measures 4.473, 5.896 and 13.233 Å, with angles of 90.00, 90.00 and 90.00 degrees. The distinct sites, in fractional coordinates, are Ta at (0.000, 0.000, 0.189), Cu at (0.000, 0.000, 0.500), Pd at (0.000, 0.234, 0.000), Pd at (0.000, 0.267, 0.360) and Pd at (0.000, 0.500, 0.179).



# 6
VASP calculation (PBE-GGA) on a relaxed Ta2Cu2Pd7 crystal.

The space group is Cmmm (No. 65) and the conventional cell measures 7.542, 8.781 and 5.829 Å, with angles of 90.00, 90.00 and 90.00 degrees. The distinct sites, in fractional coordinates, are Ta at (0.191, 0.000, 0.000), Cu at (0.000, 0.280, 0.500), Pd at (0.000, 0.000, 0.500), Pd at (0.000, 0.500, 0.233) and Pd at (0.250, 0.250, 0.236).



# 7
VASP calculation (PBE-GGA) on a relaxed TaCuPd5 crystal.

The space group is C2/c (No. 15) and the conventional cell measures 9.267, 5.754 and 9.224 Å, with angles of 90.00, 109.02 and 90.00 degrees. The distinct sites, in fractional coordinates, are Ta at (0.000, 0.114, 0.250), Cu at (0.250, 0.250, 0.000), Pd at (0.000, 0.324, 0.750), Pd at (0.103, 0.337, 0.487) and Pd at (0.250, 0.071, 0.735).



# 8
VASP calculation (PBE-GGA) on a relaxed TaCuPd2 crystal.

The space group is P4/mmm (No. 123) and the conventional cell measures 2.868, 2.868 and 7.369 Å, with angles of 90.00, 90.00 and 90.00 degrees. The distinct sites, in fractional coordinates, are Ta at (0.000, 0.000, 0.000), Cu at (0.000, 0.000, 0.500) and Pd at (0.500, 0.500, 0.264).



# 9
VASP calculation (PBE-GGA) on a relaxed TaCu2Pd8 crystal.

The excess energy over the best structure of this formula in the dataset is 277 meV per atom.

The space group is C2/m (No. 12) and the conventional cell measures 9.867, 8.739 and 4.628 Å, with angles of 90.00, 105.46 and 90.00 degrees. The distinct sites, in fractional coordinates, are Ta at (0.000, 0.000, 0.000), Cu at (0.147, 0.000, 0.545), Pd at (0.081, 0.500, 0.297), Pd at (0.084, 0.243, 0.793) and Pd at (0.235, 0.500, 0.888).



# 10
VASP calculation (PBE-GGA) on a relaxed TaCu2Pd crystal.

The excess energy over the best structure of this formula in the dataset is 0 meV per atom.

The space group is Fm-3m (No. 225) and the conventional cell measures 6.093, 6.093 and 6.093 Å, with angles of 90.00, 90.00 and 90.00 degrees. The distinct sites, in fractional coordinates, are Ta at (0.000, 0.000, 0.000), Cu at (0.250, 0.250, 0.250) and Pd at (0.000, 0.000, 0.500).



# 11
VASP calculation (PBE-GGA) on a relaxed TaCu6Pd12 crystal.

The excess energy over the best structure of this formula in the dataset is 213 meV per atom.

The space group is R-3m (No. 166, hexagonal axes) and the conventional cell measures 10.6457, 10.6457 and 8.8813 Å, with angles of 90.00, 90.00 and 120.00 degrees. The distinct sites, in fractional coordinates, are Ta at (0.0000, 0.0000, 0.0000), Cu at (0.0826, 0.1652, 0.7464), Pd at (0.0000, 0.2559, 0.0000) and Pd at (0.0747, 0.5373, 0.1171).



# 12
VASP calculation (PBE-GGA) on a relaxed TaCu23Pd6 crystal.

The space group is Fm-3m (No. 225) and the conventional cell measures 11.643, 11.643 and 11.643 Å, with angles of 90.00, 90.00 and 90.00 degrees. The distinct sites, in fractional coordinates, are Ta at (0.000, 0.000, 0.000), Cu at (0.000, 0.000, 0.500), Cu at (0.000, 0.250, 0.250), Cu at (0.128, 0.128, 0.372), Cu at (0.146, 0.146, 0.146) and Pd at (0.000, 0.000, 0.237).



Number 1: ΔE_f -0.20 eV/atom. Number 2: ΔE_f -0.30 eV/atom. Number 3: ΔE_f -0.13 eV/atom. Number 4: ΔE_f 0.28 eV/atom. Number 5: ΔE_f -0.28 eV/atom. Number 6: ΔE_f 0.20 eV/atom. Number 7: ΔE_f -0.07 eV/atom. Number 8: ΔE_f -0.27 eV/atom. Number 9: ΔE_f 0.14 eV/atom. Number 10: ΔE_f -0.03 eV/atom. Number 11: ΔE_f 0.03 eV/atom. Number 12: ΔE_f -0.01 eV/atom.